Density functional theory data (GGA-PBE) for a geometry-optimized YCdHRh2 structure.

a b c (Å): 4.250 4.250 4.161
angles (deg): 90.00 90.00 90.00
Atoms (fractional coordinates):
Rh 0.500 0.000 0.000
Rh 0.000 0.500 0.000
H 0.000 0.000 0.000
Cd 0.500 0.500 0.500
Y 0.000 0.000 0.500

* crystal system: tetragonal
* raw total energy: -27.55 eV per formula unit



Density functional theory data (GGA-PBE) for a geometry-optimized Zn2CdHRh structure.

a b c (Å): 4.338 4.338 3.518
angles (deg): 90.00 90.00 90.00
Atoms (fractional coordinates):
H 0.000 0.000 0.000
Cd 0.500 0.500 0.500
Zn 0.000 0.500 0.000
Zn 0.500 0.000 0.000
Rh 0.000 0.000 0.500

* crystal system: tetragonal
* raw total energy: -14.44 eV per formula unit